(1)
Material: SrSmPt
Method: DFT, PBE-GGA
State: optimized geometry

```
SrSmPt
1.0
5.073 0.000 0.000
2.536 4.393 0.000
2.536 1.464 4.142
Sm Pt Sr
1 1 1
direct
0.500 0.500 0.500 Sm
0.250 0.250 0.250 Pt
0.000 0.000 0.000 Sr
```

Output
ΔE to the lowest computed polymorph: 52 meV/atom
Fermi-level density of states: 1.1178 states/eV/atom

(2)
Material: TaH2Se
Method: DFT, PBE-GGA
State: optimized geometry

```
TaH2Se
1.0
-2.186 1.074 -2.113
0.158 -4.874 -0.193
-4.339 -0.312 4.331
Ta Se H
2 2 4
direct
0.261 0.513 0.250 Ta
0.739 0.487 0.750 Ta
0.975 0.944 0.250 Se
0.025 0.056 0.750 Se
0.695 0.388 0.075 H
0.695 0.388 0.425 H
0.305 0.612 0.575 H
0.305 0.612 0.925 H
```

Output
ΔE to the lowest computed polymorph: 79 meV/atom
Fermi-level density of states: 0.3969 states/eV/atom

(3)
Material: CaTm4Se5
Method: DFT, PBE-GGA
State: optimized geometry

```
CaTm4Se5
1.0
-1.802 -2.229 4.949
3.114 -6.031 1.722
3.647 2.123 5.589
Tm Se Ca
4 5 1
direct
0.800 0.804 0.598 Tm
0.398 0.402 0.804 Tm
0.604 0.598 0.196 Tm
0.202 0.196 0.402 Tm
0.501 0.000 0.000 Se
0.305 0.795 0.597 Se
0.697 0.205 0.403 Se
0.100 0.597 0.205 Se
0.902 0.403 0.795 Se
0.001 0.000 0.000 Ca
```

Output
Fermi-level density of states: 0.4253 states/eV/atom
Raw formation energy: -1.719 eV/atom

(4)
Material: Pa2AlRe
Method: DFT, PBE-GGA
State: optimized geometry

```
Pa2AlRe
1.0
-2.223 -2.100 1.064
1.351 -1.126 -4.328
4.487 -3.532 2.407
Re Al Pa
1 1 2
direct
0.000 0.000 0.000 Re
0.000 0.000 0.500 Al
0.723 0.446 0.762 Pa
0.277 0.554 0.238 Pa
```

Output
ΔE to the lowest computed polymorph: 277 meV/atom
Fermi-level density of states: 1.2010 states/eV/atom

Among the records above, which one has the lowest Fermi-level density of states? TaH2Se

The highest Fermi-level density of states belongs to which entry? Pa2AlRe

What did the third record say?
Material: CaTm4Se5
Method: DFT, PBE-GGA
State: optimized geometry

```
CaTm4Se5
1.0
-1.802 -2.229 4.949
3.114 -6.031 1.722
3.647 2.123 5.589
Tm Se Ca
4 5 1
direct
0.800 0.804 0.598 Tm
0.398 0.402 0.804 Tm
0.604 0.598 0.196 Tm
0.202 0.196 0.402 Tm
0.501 0.000 0.000 Se
0.305 0.795 0.597 Se
0.697 0.205 0.403 Se
0.100 0.597 0.205 Se
0.902 0.403 0.795 Se
0.001 0.000 0.000 Ca
```

Output
Fermi-level density of states: 0.4253 states/eV/atom
Raw formation energy: -1.719 eV/atom